Here is a relaxed structure of AcSmCr2O8 from the Alexandria database. Energies are from PBE with a Hubbard U.

Cell and atoms, written as extended XYZ:
```
12
Lattice="-3.7593 3.7593 3.2707 3.7593 -3.7593 3.2707 3.7593 3.7593 -3.2707" Properties=species:S:1:pos:R:3 pbc="T T T"
Ac 0.0000 0.0000 0.0000
Sm 0.0000 3.7593 1.6354
Cr 3.7593 0.0000 1.6354
Cr 0.0000 0.0000 3.2707
O 2.4678 0.0000 0.4904
O 5.0508 0.0000 0.4904
O 3.7593 2.3807 -1.0494
O 3.7593 -1.2915 2.7804
O 0.0000 1.3786 2.2214
O 3.7593 1.2915 2.7804
O 2.3807 3.7593 1.0494
O 1.3786 0.0000 4.3201
```

Results
**Volume**: 15.4 A^3/atom
**E_tot**: -91.2 eV/cell
**Total magnetization**: 2.0 μB/cell